TlCd2Br after structural relaxation. Source: Alexandria via LeMat-Bulk, functional PBE.

SG ... Ama2 (40)
Formation energy (no corrections) ... -0.2988 eV per atom
Density of states at the Fermi level ... 2.348 states/eV per cell
Size of the total moment ... 0.000 μB per atom
Uncorrected energy ... -28.258 eV/cell

```
TlCd2Br
1.0
4.614 0.000 0.000
0.000 24.359 0.000
0.000 0.000 4.483
Tl Cd Br
4 8 4
direct
0.750 0.675 0.997
0.250 0.825 0.497
0.250 0.325 0.997
0.750 0.175 0.497
0.750 0.446 0.494
0.750 0.946 0.994
0.750 0.042 0.493
0.250 0.554 0.494
0.250 0.054 0.994
0.250 0.958 0.493
0.750 0.542 0.993
0.250 0.458 0.993
0.250 0.686 0.497
0.750 0.814 0.997
0.250 0.186 0.997
0.750 0.314 0.497
```